[1]
TaTeAsSe2 after structural relaxation, computed with PBE. Values from VASP.

```
&SYSTEM
  ibrav = 0, nat = 5, ntyp = 4
/
ATOMIC_SPECIES
As 74.92 As.upf
Te 127.60 Te.upf
Se 78.96 Se.upf
Ta 180.95 Ta.upf
CELL_PARAMETERS angstrom
5.205 0.000 0.000
0.000 5.205 0.000
0.000 0.000 5.194
ATOMIC_POSITIONS crystal
As 0.000 0.000 0.500
Te 0.000 0.000 0.000
Se 0.000 0.500 0.000
Se 0.500 0.000 0.000
Ta 0.500 0.500 0.500
```

Calculated values
DOS at the Fermi energy	5.4	states/eV per cell
total DFT energy (no corrections)	-3.95	eV per atom
formation energy without anion corrections	1.38	eV per atom
magnetic moment	2.0	μB/f.u.

=====

[2]
Ta2TeAsSe after structural relaxation, computed with PBE. Values from VASP.

```
&SYSTEM
  ibrav = 0, nat = 5, ntyp = 4
/
ATOMIC_SPECIES
As 74.92 As.upf
Te 127.60 Te.upf
Se 78.96 Se.upf
Ta 180.95 Ta.upf
CELL_PARAMETERS angstrom
5.141 0.000 0.000
0.000 5.135 0.000
0.000 0.000 5.141
ATOMIC_POSITIONS crystal
As 0.500 0.500 0.500
Te 0.000 0.000 0.000
Se 0.000 0.500 0.000
Ta 0.000 0.000 0.500
Ta 0.500 0.000 0.000
```

Calculated values
DOS at the Fermi energy	6.8	states/eV per cell
total DFT energy (no corrections)	-5.19	eV per atom
formation energy without anion corrections	1.81	eV per atom
magnetic moment	1.0	μB/f.u.